# DyReNi (PBE, optimized geometry)
data_DyReNi
_cell_length_a 4.335
_cell_length_b 4.335
_cell_length_c 4.335
_cell_angle_alpha 60.00
_cell_angle_beta 60.00
_cell_angle_gamma 60.00
_space_group_name_H-M_alt 'P 1'
_space_group_IT_number 1
loop_
_space_group_symop_operation_xyz
'x,y,z'
loop_
_atom_site_label
_atom_site_fract_x
_atom_site_fract_y
_atom_site_fract_z
Dy1 0.000 0.000 0.000
Re1 0.500 0.500 0.500
Ni1 0.250 0.250 0.250
# Crystal system: cubic
# Energy relative to the elements: 0.552 eV per atom
# Total energy: -20.94 eV per cell